# 1
DFT (PBE) results for crystalline Ti5Os4Ru at its relaxed geometry.

Unit cell a=3.089 b=3.089 c=15.455 alpha=90.00 beta=90.00 gamma=90.00
Space group P4/mmm (No. 123)
Unique sites:
Ti 0.000 0.000 0.000 [1 per cell]
Ti 0.000 0.000 0.200 [2 per cell]
Ti 0.000 0.000 0.400 [2 per cell]
Os 0.500 0.500 0.100 [2 per cell]
Os 0.500 0.500 0.301 [2 per cell]
Ru 0.500 0.500 0.500 [1 per cell]

V = 14.74 A^3/atom
energy of formation = -0.7219 eV per atom
density of states at the Fermi level = 0.2570 states/eV/atom
crystal system = tetragonal

# 2
DFT (PBE) results for crystalline TiOs2Ru2 at its relaxed geometry.

Unit cell a=7.446 b=7.446 c=2.760 alpha=90.00 beta=90.00 gamma=90.00
Space group P4/mbm (No. 127)
Unique sites:
Ti 0.000 0.000 0.000 [2 per cell]
Os 0.123 0.377 0.000 [4 per cell]
Ru 0.173 0.673 0.500 [4 per cell]

energy above the lowest structure with this stoichiometry = 0 meV per atom
V = 15.30 A^3/atom
energy of formation = 0.0468 eV per atom
density of states at the Fermi level = 0.8073 states/eV/atom
crystal system = tetragonal

# 3
DFT (PBE) results for crystalline TiOs2Ru at its relaxed geometry.

Unit cell a=6.180 b=6.180 c=6.180 alpha=90.00 beta=90.00 gamma=90.00
Space group Fm-3m (No. 225)
Unique sites:
Ti 0.000 0.000 0.000 [4 per cell]
Os 0.250 0.250 0.250 [8 per cell]
Ru 0.000 0.000 0.500 [4 per cell]

energy above the lowest structure with this stoichiometry = 0 meV per atom
V = 14.76 A^3/atom
energy of formation = 0.1332 eV per atom
density of states at the Fermi level = 1.5410 states/eV/atom
crystal system = cubic

# 4
DFT (PBE) results for crystalline TiOsRu at its relaxed geometry.

Unit cell a=4.402 b=7.392 c=5.384 alpha=90.00 beta=90.00 gamma=90.00
Space group Cmcm (No. 63)
Unique sites:
Ti 0.000 0.177 0.250 [4 per cell]
Os 0.000 0.500 0.000 [4 per cell]
Ru 0.000 0.163 0.750 [4 per cell]

V = 14.60 A^3/atom
energy of formation = -0.1764 eV per atom
density of states at the Fermi level = 1.4929 states/eV/atom
crystal system = orthorhombic

# 5
DFT (PBE) results for crystalline Ti4OsRu3 at its relaxed geometry.

Unit cell a=3.079 b=4.366 c=8.729 alpha=90.00 beta=90.00 gamma=90.00
Space group Pmmm (No. 47)
Unique sites:
Ti 0.000 0.000 0.000 [1 per cell]
Ti 0.000 0.000 0.500 [1 per cell]
Ti 0.000 0.500 0.250 [2 per cell]
Os 0.500 0.500 0.000 [1 per cell]
Ru 0.500 0.000 0.251 [2 per cell]
Ru 0.500 0.500 0.500 [1 per cell]

V = 14.67 A^3/atom
energy of formation = -0.7506 eV per atom
density of states at the Fermi level = 0.2021 states/eV/atom
crystal system = orthorhombic

# 6
DFT (PBE) results for crystalline Ti6OsRu5 at its relaxed geometry.

Unit cell a=13.766 b=6.161 c=4.370 alpha=90.00 beta=108.43 gamma=90.00
Space group C2/m (No. 12)
Unique sites:
Ti 0.000 0.250 0.000 [4 per cell]
Ti 0.167 0.250 0.667 [8 per cell]
Os 0.000 0.000 0.500 [2 per cell]
Ru 0.000 0.500 0.500 [2 per cell]
Ru 0.167 0.000 0.167 [4 per cell]
Ru 0.167 0.500 0.167 [4 per cell]

V = 14.65 A^3/atom
energy of formation = -0.7550 eV per atom
density of states at the Fermi level = 0.2348 states/eV/atom
crystal system = monoclinic